w:
The following is a DFT calculation (PBE) of an optimized crystal structure of HfAlNiAg.

Computed properties:
- Density: 9.37 g/cm3
- Size of the total moment: 0.01 μB/cell

```
HfAlNiAg
1.0
4.2803 0.0000 0.0000
-2.1402 3.7069 0.0000
0.0000 0.0000 8.3135
Ni Al Ag Hf
2 2 2 2
Direct
0.6667 0.3333 0.9197 Ni
0.3333 0.6667 0.0803 Ni
0.0000 0.0000 0.5000 Al
0.0000 0.0000 0.0000 Al
0.6667 0.3333 0.5950 Ag
0.3333 0.6667 0.4050 Ag
0.3333 0.6667 0.7762 Hf
0.6667 0.3333 0.2238 Hf
```

x:
The following is a DFT calculation (PBE) of an optimized crystal structure of HfAlNiAg.

Computed properties:
- Density: 9.53 g/cm3
- Size of the total moment: 0.01 μB/cell

```
HfAlNiAg
1.0
0.0000 3.1883 3.1883
3.1883 0.0000 3.1883
3.1883 3.1883 0.0000
Al Hf Ag Ni
1 1 1 1
Direct
0.0000 0.0000 0.0000 Al
0.2500 0.2500 0.2500 Hf
0.5000 0.5000 0.5000 Ag
0.7500 0.7500 0.7500 Ni
```

Preferred: w; penalty for the next structure: 25.3 kJ/mol of atoms.

w:
The following is a DFT calculation (PBE) of an optimized crystal structure of LuAlAgPd.

Computed properties:
- Density: 9.48 g/cm3
- Size of the total moment: 0.00 μB/cell

```
LuAlAgPd
1.0
0.0000 3.3154 3.3154
3.3154 0.0000 3.3154
3.3154 3.3154 0.0000
Lu Pd Ag Al
1 1 1 1
Direct
0.7500 0.7500 0.7500 Lu
0.2500 0.2500 0.2500 Pd
0.5000 0.5000 0.5000 Ag
0.0000 0.0000 0.0000 Al
```

x:
The following is a DFT calculation (PBE) of an optimized crystal structure of LuAlAgPd.

Computed properties:
- Density: 9.34 g/cm3
- Size of the total moment: 0.00 μB/cell

```
LuAlAgPd
1.0
0.0000 3.3319 3.3319
3.3319 0.0000 3.3319
3.3319 3.3319 0.0000
Lu Al Ag Pd
1 1 1 1
Direct
0.7500 0.7500 0.7500 Lu
0.5000 0.5000 0.5000 Al
0.2500 0.2500 0.2500 Ag
0.0000 0.0000 0.0000 Pd
```

y:
The following is a DFT calculation (PBE) of an optimized crystal structure of LuAlAgPd.

Computed properties:
- Density: 9.51 g/cm3
- Size of the total moment: 0.00 μB/cell

```
LuAlAgPd
1.0
0.0000 3.3126 3.3126
3.3126 0.0000 3.3126
3.3126 3.3126 0.0000
Ag Pd Lu Al
1 1 1 1
Direct
0.5000 0.5000 0.5000 Ag
0.0000 0.0000 0.0000 Pd
0.7500 0.7500 0.7500 Lu
0.2500 0.2500 0.2500 Al
```

Preferred: y; penalty for the next structure: 18.6 kJ/mol of atoms.

w:
The following is a DFT calculation (PBE) of an optimized crystal structure of NbAlAg.

Computed properties:
- Density: 6.44 g/cm3
- Size of the total moment: 0.56 μB/cell

```
NbAlAg
1.0
0.0000 3.0855 3.0855
3.0855 0.0000 3.0855
3.0855 3.0855 0.0000
Nb Al Ag
1 1 1
Direct
0.7500 0.7500 0.7500 Nb
0.2500 0.2500 0.2500 Al
0.0000 0.0000 0.0000 Ag
```

x:
The following is a DFT calculation (PBE) of an optimized crystal structure of NbAlAg.

Computed properties:
- Density: 6.07 g/cm3
- Size of the total moment: 0.00 μB/cell

```
NbAlAg
1.0
2.2252 1.2847 3.6337
-2.2252 1.2847 3.6337
0.0000 -2.5694 3.6337
Ag Al Nb
1 1 1
Direct
0.2500 0.2500 0.2500 Ag
0.7500 0.7500 0.7500 Al
0.0000 0.0000 0.0000 Nb
```

Preferred: w; penalty for the next structure: 22.4 kJ/mol of atoms.

w:
The following is a DFT calculation (PBE) of an optimized crystal structure of AlNiAg.

Computed properties:
- Density: 6.27 g/cm3
- Size of the total moment: 0.01 μB/cell

```
AlNiAg
1.0
-2.1828 -3.2252 -1.4915
-4.0413 0.4638 -0.9185
-1.2486 -0.0110 -3.9789
Ag Ni Al
1 1 1
Direct
0.0000 0.0000 0.0000 Ag
0.7500 0.7500 0.7500 Ni
0.2500 0.2500 0.2500 Al
```

x:
The following is a DFT calculation (PBE) of an optimized crystal structure of AlNiAg.

Computed properties:
- Density: 6.59 g/cm3
- Size of the total moment: 0.00 μB/cell

```
AlNiAg
1.0
-1.4038 -3.8466 -0.2131
-3.2405 -0.8722 -2.3559
0.4929 -2.1746 -3.4410
Al Ni Ag
1 1 1
Direct
0.7500 0.7500 0.7500 Al
0.0000 0.0000 0.0000 Ni
0.2500 0.2500 0.2500 Ag
```

Preferred: x; penalty for the next structure: 22.3 kJ/mol of atoms.

w:
The following is a DFT calculation (PBE) of an optimized crystal structure of AlAgSeO.

Computed properties:
- Density: 5.03 g/cm3

```
AlAgSeO
1.0
-0.2602 3.3590 1.7425
-0.5122 -3.3659 6.4119
5.4875 0.1554 0.5199
Se Al Ag O
2 2 2 2
Direct
0.0000 0.3117 0.6291 Se
0.0000 0.6883 0.1291 Se
0.5000 0.8844 0.0329 Al
0.5000 0.1156 0.5329 Al
0.0000 0.6957 0.6086 Ag
0.0000 0.3043 0.1086 Ag
0.5000 0.0770 0.2205 O
0.5000 0.9230 0.7205 O
```

x:
The following is a DFT calculation (PBE) of an optimized crystal structure of AlAgSeO.

Computed properties:
- Density: 6.16 g/cm3

```
AlAgSeO
1.0
3.6647 0.0000 0.0000
0.0000 3.6647 0.0000
0.0000 0.0000 9.2281
Al O Se Ag
2 2 2 2
Direct
0.2500 0.2500 0.0844 Al
0.7500 0.7500 0.9156 Al
0.2500 0.7500 0.0000 O
0.7500 0.2500 0.0000 O
0.2500 0.2500 0.7271 Se
0.7500 0.7500 0.2729 Se
0.2500 0.7500 0.5000 Ag
0.7500 0.2500 0.5000 Ag
```

Preferred: w; penalty for the next structure: 30.4 kJ/mol of atoms.

w:
The following is a DFT calculation (PBE) of an optimized crystal structure of AlAgTeO.

Computed properties:
- Density: 5.20 g/cm3

```
AlAgTeO
1.0
4.1318 0.0000 0.0000
0.0000 7.6610 0.0000
0.0000 0.0000 5.6233
Ag Al Te O
2 2 2 2
Direct
0.0000 0.2904 0.1230 Ag
0.0000 0.7096 0.6230 Ag
0.5000 0.8957 0.0213 Al
0.5000 0.1043 0.5213 Al
0.0000 0.6895 0.1325 Te
0.0000 0.3105 0.6325 Te
0.5000 0.9264 0.7142 O
0.5000 0.0736 0.2142 O
```

x:
The following is a DFT calculation (PBE) of an optimized crystal structure of AlAgTeO.

Computed properties:
- Density: 6.72 g/cm3

```
AlAgTeO
1.0
3.7146 0.0000 0.0000
0.0000 3.7146 0.0000
0.0000 0.0000 9.9739
Te O Ag Al
2 2 2 2
Direct
0.7500 0.7500 0.2745 Te
0.2500 0.2500 0.7255 Te
0.7500 0.2500 0.0000 O
0.2500 0.7500 0.0000 O
0.2500 0.7500 0.5000 Ag
0.7500 0.2500 0.5000 Ag
0.2500 0.2500 0.0786 Al
0.7500 0.7500 0.9214 Al
```

Preferred: w; penalty for the next structure: 23.0 kJ/mol of atoms.

w:
The following is a DFT calculation (PBE) of an optimized crystal structure of PaAlAg.

Computed properties:
- Density: 8.39 g/cm3
- Size of the total moment: 0.88 μB/cell

```
PaAlAg
1.0
0.0000 3.3086 3.3086
3.3086 0.0000 3.3086
3.3086 3.3086 0.0000
Ag Pa Al
1 1 1
Direct
0.0000 0.0000 0.0000 Ag
0.7500 0.7500 0.7500 Pa
0.2500 0.2500 0.2500 Al
```

x:
The following is a DFT calculation (PBE) of an optimized crystal structure of PaAlAg.

Computed properties:
- Density: 7.63 g/cm3
- Size of the total moment: 0.69 μB/cell

```
PaAlAg
1.0
-3.9520 -1.0292 2.5769
-4.2451 -0.5948 -2.2235
-1.9863 -4.3928 -0.2762
Ag Pa Al
1 1 1
Direct
0.2500 0.2500 0.2500 Ag
0.0000 0.0000 0.0000 Pa
0.7500 0.7500 0.7500 Al
```

Preferred: w; penalty for the next structure: 48.3 kJ/mol of atoms.

w:
The following is a DFT calculation (PBE) of an optimized crystal structure of Al2Ag2Pd.

Computed properties:
- Density: 7.27 g/cm3

```
Al2Ag2Pd
1.0
-1.8719 1.8719 6.1254
1.8719 -1.8719 6.1254
1.8719 1.8719 -6.1254
Pd Al Ag
1 2 2
Direct
0.0000 0.0000 0.0000 Pd
0.5981 0.5981 0.0000 Al
0.4019 0.4019 0.0000 Al
0.2500 0.7500 0.5000 Ag
0.7500 0.2500 0.5000 Ag
```

x:
The following is a DFT calculation (PBE) of an optimized crystal structure of Al2Ag2Pd.

Computed properties:
- Density: 7.17 g/cm3

```
Al2Ag2Pd
1.0
3.0303 -5.7154 -0.4341
-0.5734 -5.3445 3.6256
-3.1861 4.6177 -3.2501
Ag Al Pd
2 2 1
Direct
0.3919 0.3919 0.0000 Ag
0.6081 0.6081 0.0000 Ag
0.2500 0.7500 0.5000 Al
0.7500 0.2500 0.5000 Al
0.0000 0.0000 0.0000 Pd
```

Preferred: w; penalty for the next structure: 9.2 kJ/mol of atoms.

w:
The following is a DFT calculation (PBE) of an optimized crystal structure of ZrAlAgPd.

Computed properties:
- Density: 7.90 g/cm3
- Size of the total moment: 0.00 μB/cell

```
ZrAlAgPd
1.0
0.0945 -4.4132 1.3733
-3.2855 -2.9305 -1.4103
1.0265 -3.3409 -3.0259
Ag Zr Pd Al
1 1 1 1
Direct
0.0000 0.0000 0.0000 Ag
0.2500 0.2500 0.2500 Zr
0.5000 0.5000 0.5000 Pd
0.7500 0.7500 0.7500 Al
```

x:
The following is a DFT calculation (PBE) of an optimized crystal structure of ZrAlAgPd.

Computed properties:
- Density: 7.94 g/cm3
- Size of the total moment: 0.00 μB/cell

```
ZrAlAgPd
1.0
0.0000 3.2643 3.2643
3.2643 0.0000 3.2643
3.2643 3.2643 0.0000
Ag Pd Al Zr
1 1 1 1
Direct
0.0000 0.0000 0.0000 Ag
0.2500 0.2500 0.2500 Pd
0.7500 0.7500 0.7500 Al
0.5000 0.5000 0.5000 Zr
```

y:
The following is a DFT calculation (PBE) of an optimized crystal structure of ZrAlAgPd.

Computed properties:
- Density: 7.98 g/cm3
- Size of the total moment: 0.00 μB/cell

```
ZrAlAgPd
1.0
0.0000 3.2589 3.2589
3.2589 0.0000 3.2589
3.2589 3.2589 0.0000
Pd Zr Al Ag
1 1 1 1
Direct
0.5000 0.5000 0.5000 Pd
0.0000 0.0000 0.0000 Zr
0.7500 0.7500 0.7500 Al
0.2500 0.2500 0.2500 Ag
```

Preferred: w; penalty for the next structure: 10.8 kJ/mol of atoms.

w:
The following is a DFT calculation (PBE) of an optimized crystal structure of ScAlAgPt.

Computed properties:
- Density: 9.20 g/cm3
- Size of the total moment: 0.00 μB/cell

```
ScAlAgPt
1.0
3.2935 -2.9812 -1.0896
-1.1002 -4.1176 -1.6603
0.8266 -0.9920 -4.3880
Sc Ag Pt Al
1 1 1 1
Direct
0.5000 0.5000 0.5000 Sc
0.2500 0.2500 0.2500 Ag
0.0000 0.0000 0.0000 Pt
0.7500 0.7500 0.7500 Al
```

x:
The following is a DFT calculation (PBE) of an optimized crystal structure of ScAlAgPt.

Computed properties:
- Density: 8.98 g/cm3
- Size of the total moment: 0.00 μB/cell

```
ScAlAgPt
1.0
0.0000 3.2608 3.2608
3.2608 0.0000 3.2608
3.2608 3.2608 0.0000
Ag Al Sc Pt
1 1 1 1
Direct
0.5000 0.5000 0.5000 Ag
0.7500 0.7500 0.7500 Al
0.0000 0.0000 0.0000 Sc
0.2500 0.2500 0.2500 Pt
```

Preferred: w; penalty for the next structure: 5.0 kJ/mol of atoms.

w:
The following is a DFT calculation (PBE) of an optimized crystal structure of AgAs.

Computed properties:
- Density: 6.10 g/cm3

```
AgAs
1.0
0.0000 2.9195 2.9195
2.9195 0.0000 2.9195
2.9195 2.9195 0.0000
Ag As
1 1
Direct
0.0000 0.0000 0.0000 Ag
0.2500 0.2500 0.2500 As
```

x:
The following is a DFT calculation (PBE) of an optimized crystal structure of AgAs.

Computed properties:
- Density: 8.11 g/cm3

```
AgAs
1.0
-0.8202 -4.8388 -0.8124
-0.1432 -0.4618 2.8948
-5.0516 0.8748 -0.1104
Ag As
2 2
Direct
0.7500 0.0000 0.8346 Ag
0.2500 0.0000 0.1654 Ag
0.7500 0.5000 0.3338 As
0.2500 0.5000 0.6662 As
```

Preferred: x; penalty for the next structure: 26.4 kJ/mol of atoms.

w:
The following is a DFT calculation (PBE) of an optimized crystal structure of AgAs.

Computed properties:
- Density: 7.64 g/cm3

```
AgAs
1.0
-0.7003 0.2881 3.7546
-2.2585 2.7988 1.3177
-3.4795 -0.8312 1.3685
As Ag
1 1
Direct
0.5000 0.5000 0.5000 As
0.0000 0.0000 0.0000 Ag
```

x:
The following is a DFT calculation (PBE) of an optimized crystal structure of AgAs.

Computed properties:
- Density: 7.94 g/cm3

```
AgAs
1.0
-0.1006 5.3130 -0.8394
-1.2779 -0.5612 -3.3988
-7.2508 0.2860 2.6790
As Ag
4 4
Direct
0.7500 0.0000 0.7526 As
0.2500 0.0000 0.2474 As
0.7500 0.5000 0.9908 As
0.2500 0.5000 0.0092 As
0.0000 0.5000 0.5000 Ag
0.5000 0.5000 0.5000 Ag
0.7500 0.0000 0.2660 Ag
0.2500 0.0000 0.7340 Ag
```

Preferred: x; penalty for the next structure: 14.3 kJ/mol of atoms.

w:
The following is a DFT calculation (PBE) of an optimized crystal structure of LiAgAsAu.

Computed properties:
- Density: 9.23 g/cm3

```
LiAgAsAu
1.0
0.0000 3.2643 3.2643
3.2643 0.0000 3.2643
3.2643 3.2643 0.0000
Ag Li Au As
1 1 1 1
Direct
0.5000 0.5000 0.5000 Ag
0.2500 0.2500 0.2500 Li
0.7500 0.7500 0.7500 Au
0.0000 0.0000 0.0000 As
```

x:
The following is a DFT calculation (PBE) of an optimized crystal structure of LiAgAsAu.

Computed properties:
- Density: 9.40 g/cm3

```
LiAgAsAu
1.0
-0.0267 2.1637 4.0463
-3.9849 0.9530 2.0659
-1.2111 -2.2628 3.8037
Au Li As Ag
1 1 1 1
Direct
0.7500 0.7500 0.7500 Au
0.5000 0.5000 0.5000 Li
0.0000 0.0000 0.0000 As
0.2500 0.2500 0.2500 Ag
```

Preferred: x; penalty for the next structure: 3.6 kJ/mol of atoms.

w:
The following is a DFT calculation (PBE) of an optimized crystal structure of NaAgAsAu.

Computed properties:
- Density: 8.83 g/cm3

```
NaAgAsAu
1.0
-2.2725 -2.9615 2.9362
-2.0563 1.6755 3.9396
-4.7357 0.1500 0.3272
As Au Na Ag
1 1 1 1
Direct
0.0000 0.0000 0.0000 As
0.7500 0.7500 0.7500 Au
0.5000 0.5000 0.5000 Na
0.2500 0.2500 0.2500 Ag
```

x:
The following is a DFT calculation (PBE) of an optimized crystal structure of NaAgAsAu.

Computed properties:
- Density: 8.77 g/cm3

```
NaAgAsAu
1.0
0.0000 3.3653 3.3653
3.3653 0.0000 3.3653
3.3653 3.3653 0.0000
As Au Ag Na
1 1 1 1
Direct
0.2500 0.2500 0.2500 As
0.7500 0.7500 0.7500 Au
0.0000 0.0000 0.0000 Ag
0.5000 0.5000 0.5000 Na
```

Preferred: w; penalty for the next structure: 5.7 kJ/mol of atoms.